Record 1
Here is a relaxed structure of LiBiBIr from the Open Quantum Materials Database. Energies are from PBE.

- offset from the most stable computed form (eV/atom) = 0.125
- calculated volume (Å³/cell) = 238.4

Unit cell a=6.2005 b=6.2005 c=6.2005 alpha=90.00 beta=90.00 gamma=90.00
With the nearest neighbours (Å) after each atom.
Space group F-43m (No. 216)
Symmetry-distinct sites (fractional):
Li  0.0000  0.0000  0.0000  4 Bi 2.68, 4 Ir 2.68
Bi  0.2500  0.2500  0.2500  4 Li 2.68, 4 B 2.68
B  0.0000  0.0000  0.5000  4 Ir 2.68, 4 Bi 2.68
Ir  0.2500  0.2500  0.7500  4 Li 2.68, 4 B 2.68

***

Record 2
Here is a relaxed structure of LiBiBIr from the Open Quantum Materials Database. Energies are from PBE.

- offset from the most stable computed form (eV/atom) = 0.000
- calculated volume (Å³/cell) = 243.3

Unit cell a=6.2428 b=6.2428 c=6.2428 alpha=90.00 beta=90.00 gamma=90.00
With the nearest neighbours (Å) after each atom.
Space group F-43m (No. 216)
Symmetry-distinct sites (fractional):
Li  0.0000  0.0000  0.0000  4 Bi 2.70, 4 B 2.70
Bi  0.2500  0.2500  0.2500  4 Li 2.70, 4 Ir 2.70
B  0.2500  0.2500  0.7500  4 Li 2.70, 4 Ir 2.70
Ir  0.0000  0.0000  0.5000  4 Bi 2.70, 4 B 2.70

***

Record 3
Here is a relaxed structure of LuBi2B from the Open Quantum Materials Database. Energies are from PBE.

- E (eV/cell) = -65.7
- calculated volume (Å³/cell) = 395.0

Unit cell a=7.3371 b=7.3371 c=7.3371 alpha=90.00 beta=90.00 gamma=90.00
With the nearest neighbours (Å) after each atom.
Space group F-43m (No. 216)
Symmetry-distinct sites (fractional):
Lu  0.0000  0.0000  0.0000  4 B 3.18, 4 Bi 3.18
Bi  0.0000  0.0000  0.5000  4 Bi 3.18, 4 B 3.18
Bi  0.2500  0.2500  0.2500  4 Bi 3.18, 4 Lu 3.18
B  0.2500  0.2500  0.7500  4 Bi 3.18, 4 Lu 3.18

***

Record 4
Here is a relaxed structure of Lu4BiB3 from the Open Quantum Materials Database. Energies are from PBE.

- E (eV/cell) = -85.0
- calculated volume (Å³/cell) = 321.4

Unit cell a=3.5354 b=3.5354 c=29.6924 alpha=90.00 beta=90.00 gamma=120.00
With the nearest neighbours (Å) after each atom.
Space group P6_3/mmc (No. 194)
Symmetry-distinct sites (fractional):
Lu  0.0000  0.0000  0.1608  3 B 2.49
Lu  0.3333  0.6667  0.0554  6 B 2.62-2.66
Bi  0.3333  0.6667  0.2500  6 Lu 3.34, 6 Bi 3.54
B  0.0000  0.0000  0.0000  6 Lu 2.62
B  0.3333  0.6667  0.6129  6 Lu 2.49-2.66